Entry 1:
# PBE TePb3N, relaxed
data_TePb3N
_chemical_formula_sum 'Te1 Pb3 N1'
_symmetry_space_group_name_H-M 'P 1'
_symmetry_Int_Tables_number 1
_cell_length_a 5.9779
_cell_length_b 5.9779
_cell_length_c 5.9779
_cell_angle_alpha 90.00
_cell_angle_beta 90.00
_cell_angle_gamma 90.00
loop_
_symmetry_equiv_pos_as_xyz
'x,y,z'
loop_
_atom_site_label
_atom_site_type_symbol
_atom_site_fract_x
_atom_site_fract_y
_atom_site_fract_z
Te1 Te 0.0000 0.0000 0.0000
Pb1 Pb 0.0000 0.0000 0.5000
Pb2 Pb 0.0000 0.5000 0.0000
Pb3 Pb 0.5000 0.0000 0.0000
N1 N 0.5000 0.5000 0.5000
# **Spin magnetization**: 0.00 μB per cell
# **Raw formation energy**: 1616 meV/atom
# **DOS(E_F)**: 0.735 states/eV per atom
# **Energy relative to the lowest polymorph listed for this composition**: 1274 meV/atom
# **SG**: Pm-3m (221)



Entry 2:
# PBE ZrFe2W2, relaxed
data_ZrFe2W2
_chemical_formula_sum 'Zr1 Fe2 W2'
_symmetry_space_group_name_H-M 'P 1'
_symmetry_Int_Tables_number 1
_cell_length_a 5.9264
_cell_length_b 5.9264
_cell_length_c 5.9264
_cell_angle_alpha 140.60
_cell_angle_beta 140.60
_cell_angle_gamma 56.94
loop_
_symmetry_equiv_pos_as_xyz
'x,y,z'
loop_
_atom_site_label
_atom_site_type_symbol
_atom_site_fract_x
_atom_site_fract_y
_atom_site_fract_z
Zr1 Zr 0.0000 0.0000 0.0000
Fe1 Fe 0.2500 0.7500 0.5000
Fe2 Fe 0.7500 0.2500 0.5000
W1 W 0.3738 0.3738 0.0000
W2 W 0.6262 0.6262 0.0000
# **Spin magnetization**: 0.00 μB per cell
# **DOS(E_F)**: 0.533 states/eV per atom
# **Energy relative to the lowest polymorph listed for this composition**: 182 meV/atom
# **Formation energy**: 1.80 eV per formula unit
# **SG**: I4/mmm (139)



Entry 3:
# PBE CdTc2Pt, relaxed
data_CdTc2Pt
_chemical_formula_sum 'Cd1 Tc2 Pt1'
_symmetry_space_group_name_H-M 'P 1'
_symmetry_Int_Tables_number 1
_cell_length_a 3.7917
_cell_length_b 3.7917
_cell_length_c 4.4546
_cell_angle_alpha 90.00
_cell_angle_beta 90.00
_cell_angle_gamma 90.00
loop_
_symmetry_equiv_pos_as_xyz
'x,y,z'
loop_
_atom_site_label
_atom_site_type_symbol
_atom_site_fract_x
_atom_site_fract_y
_atom_site_fract_z
Cd1 Cd 0.0000 0.0000 0.0000
Tc1 Tc 0.0000 0.5000 0.5000
Tc2 Tc 0.5000 0.0000 0.5000
Pt1 Pt 0.5000 0.5000 0.0000
# **Spin magnetization**: 0.00 μB per cell
# **DOS(E_F)**: 0.931 states/eV per atom
# **Formation energy**: 1.05 eV per formula unit
# **SG**: P4/mmm (123)



Entry 4:
# PBE Na4SrU3O12, relaxed
data_Na4SrU3O12
_chemical_formula_sum 'Na4 Sr1 U3 O12'
_symmetry_space_group_name_H-M 'P 1'
_symmetry_Int_Tables_number 1
_cell_length_a 7.5234
_cell_length_b 7.5234
_cell_length_c 7.5234
_cell_angle_alpha 109.47
_cell_angle_beta 109.47
_cell_angle_gamma 109.47
loop_
_symmetry_equiv_pos_as_xyz
'x,y,z'
loop_
_atom_site_label
_atom_site_type_symbol
_atom_site_fract_x
_atom_site_fract_y
_atom_site_fract_z
Na1 Na 0.0000 0.0000 0.5000
Na2 Na 0.0000 0.5000 0.0000
Na3 Na 0.5000 0.0000 0.0000
Na4 Na 0.5000 0.5000 0.5000
Sr1 Sr 0.0000 0.0000 0.0000
U1 U 0.0000 0.5000 0.5000
U2 U 0.5000 0.0000 0.5000
U3 U 0.5000 0.5000 0.0000
O1 O 0.0000 0.2763 0.2763
O2 O 0.0000 0.7237 0.7237
O3 O 0.2500 0.5000 0.7500
O4 O 0.2500 0.7500 0.5000
O5 O 0.2763 0.0000 0.2763
O6 O 0.2763 0.2763 0.0000
O7 O 0.5000 0.2500 0.7500
O8 O 0.5000 0.7500 0.2500
O9 O 0.7237 0.0000 0.7237
O10 O 0.7237 0.7237 0.0000
O11 O 0.7500 0.2500 0.5000
O12 O 0.7500 0.5000 0.2500
# **Spin magnetization**: 0.00 μB per cell
# **Raw formation energy**: -2717 meV/atom
# **DOS(E_F)**: 0.000 states/eV per atom
# **SG**: Im-3m (229)



Entry 5:
# PBE Sm4RuCl5, relaxed
data_Sm4RuCl5
_chemical_formula_sum 'Sm4 Ru1 Cl5'
_symmetry_space_group_name_H-M 'P 1'
_symmetry_Int_Tables_number 1
_cell_length_a 9.2308
_cell_length_b 9.2308
_cell_length_c 8.6779
_cell_angle_alpha 105.37
_cell_angle_beta 105.37
_cell_angle_gamma 25.07
loop_
_symmetry_equiv_pos_as_xyz
'x,y,z'
loop_
_atom_site_label
_atom_site_type_symbol
_atom_site_fract_x
_atom_site_fract_y
_atom_site_fract_z
Sm1 Sm 0.0016 0.0016 0.2311
Sm2 Sm 0.3492 0.3492 0.9098
Sm3 Sm 0.6508 0.6508 0.0902
Sm4 Sm 0.9984 0.9984 0.7689
Ru1 Ru 0.5000 0.5000 0.0000
Cl1 Cl 0.1687 0.1687 0.3279
Cl2 Cl 0.1721 0.1721 0.8643
Cl3 Cl 0.5000 0.5000 0.5000
Cl4 Cl 0.8279 0.8279 0.1357
Cl5 Cl 0.8313 0.8313 0.6721
# **Spin magnetization**: 0.09 μB per cell
# **Raw formation energy**: -1597 meV/atom
# **DOS(E_F)**: 0.567 states/eV per atom
# **SG**: C2/m (12)



Entry 6:
# PBE FeCoNiSn, relaxed
data_FeCoNiSn
_chemical_formula_sum 'Fe1 Co1 Ni1 Sn1'
_symmetry_space_group_name_H-M 'P 1'
_symmetry_Int_Tables_number 1
_cell_length_a 4.2408
_cell_length_b 4.2408
_cell_length_c 4.2408
_cell_angle_alpha 60.00
_cell_angle_beta 60.00
_cell_angle_gamma 60.00
loop_
_symmetry_equiv_pos_as_xyz
'x,y,z'
loop_
_atom_site_label
_atom_site_type_symbol
_atom_site_fract_x
_atom_site_fract_y
_atom_site_fract_z
Fe1 Fe 0.0000 0.0000 0.0000
Co1 Co 0.2500 0.2500 0.2500
Ni1 Ni 0.7500 0.7500 0.7500
Sn1 Sn 0.5000 0.5000 0.5000
# **Spin magnetization**: 4.26 μB per cell
# **DOS(E_F)**: 1.430 states/eV per atom
# **Formation energy**: -0.04 eV per formula unit
# **SG**: F-43m (216)



Entry 7:
# PBE PmTl2Ni, relaxed
data_PmTl2Ni
_chemical_formula_sum 'Pm1 Tl2 Ni1'
_symmetry_space_group_name_H-M 'P 1'
_symmetry_Int_Tables_number 1
_cell_length_a 10.1471
_cell_length_b 10.1471
_cell_length_c 10.1471
_cell_angle_alpha 20.14
_cell_angle_beta 20.14
_cell_angle_gamma 20.14
loop_
_symmetry_equiv_pos_as_xyz
'x,y,z'
loop_
_atom_site_label
_atom_site_type_symbol
_atom_site_fract_x
_atom_site_fract_y
_atom_site_fract_z
Pm1 Pm 0.0000 0.0000 0.0000
Tl1 Tl 0.1073 0.1073 0.1073
Tl2 Tl 0.8927 0.8927 0.8927
Ni1 Ni 0.5000 0.5000 0.5000
# **Spin magnetization**: 0.00 μB per cell
# **DOS(E_F)**: 0.724 states/eV per atom
# **Formation energy**: 1.24 eV per formula unit
# **SG**: R-3m (166)



Entry 8:
# PBE NdY4Cd, relaxed
data_NdY4Cd
_chemical_formula_sum 'Nd2 Y8 Cd2'
_symmetry_space_group_name_H-M 'P 1'
_symmetry_Int_Tables_number 1
_cell_length_a 6.1095
_cell_length_b 6.1095
_cell_length_c 11.8202
_cell_angle_alpha 104.09
_cell_angle_beta 104.09
_cell_angle_gamma 60.35
loop_
_symmetry_equiv_pos_as_xyz
'x,y,z'
loop_
_atom_site_label
_atom_site_type_symbol
_atom_site_fract_x
_atom_site_fract_y
_atom_site_fract_z
Nd1 Nd 0.0000 0.5000 0.0000
Nd2 Nd 0.5000 0.0000 0.5000
Y1 Y 0.1640 0.6753 0.4970
Y2 Y 0.2506 0.4187 0.7492
Y3 Y 0.3247 0.8360 0.0030
Y4 Y 0.4187 0.2506 0.2492
Y5 Y 0.5813 0.7494 0.7508
Y6 Y 0.6753 0.1640 0.9970
Y7 Y 0.7494 0.5813 0.2508
Y8 Y 0.8360 0.3247 0.5030
Cd1 Cd 0.0756 0.9244 0.2500
Cd2 Cd 0.9244 0.0756 0.7500
# **Spin magnetization**: 0.00 μB per cell
# **DOS(E_F)**: 1.567 states/eV per atom
# **Energy relative to the lowest polymorph listed for this composition**: 76 meV/atom
# **Formation energy**: -0.14 eV per formula unit
# **SG**: C2/c (15)



Entry 9:
# PBE RbYTiBe2, relaxed
data_RbYTiBe2
_chemical_formula_sum 'Rb1 Y1 Ti1 Be2'
_symmetry_space_group_name_H-M 'P 1'
_symmetry_Int_Tables_number 1
_cell_length_a 5.0261
_cell_length_b 5.0261
_cell_length_c 5.4474
_cell_angle_alpha 90.00
_cell_angle_beta 90.00
_cell_angle_gamma 90.00
loop_
_symmetry_equiv_pos_as_xyz
'x,y,z'
loop_
_atom_site_label
_atom_site_type_symbol
_atom_site_fract_x
_atom_site_fract_y
_atom_site_fract_z
Rb1 Rb 0.0000 0.0000 0.0000
Y1 Y 0.0000 0.0000 0.5000
Ti1 Ti 0.5000 0.5000 0.0000
Be1 Be 0.0000 0.5000 0.5000
Be2 Be 0.5000 0.0000 0.5000
# **Spin magnetization**: 0.04 μB per cell
# **DOS(E_F)**: 1.404 states/eV per atom
# **Formation energy**: 10.02 eV per formula unit
# **SG**: P4/mmm (123)



Entry 10:
# PBE TbPm14Sm, relaxed
data_TbPm14Sm
_chemical_formula_sum 'Tb1 Pm14 Sm1'
_symmetry_space_group_name_H-M 'P 1'
_symmetry_Int_Tables_number 1
_cell_length_a 7.2919
_cell_length_b 7.2919
_cell_length_c 10.2865
_cell_angle_alpha 90.00
_cell_angle_beta 90.00
_cell_angle_gamma 90.00
loop_
_symmetry_equiv_pos_as_xyz
'x,y,z'
loop_
_atom_site_label
_atom_site_type_symbol
_atom_site_fract_x
_atom_site_fract_y
_atom_site_fract_z
Tb1 Tb 0.0000 0.0000 0.0000
Pm1 Pm 0.0000 0.0000 0.5000
Pm2 Pm 0.0000 0.5000 0.0000
Pm3 Pm 0.0000 0.5000 0.5000
Pm4 Pm 0.2495 0.2495 0.2490
Pm5 Pm 0.2495 0.2495 0.7510
Pm6 Pm 0.2495 0.7505 0.2490
Pm7 Pm 0.2495 0.7505 0.7510
Pm8 Pm 0.5000 0.0000 0.0000
Pm9 Pm 0.5000 0.0000 0.5000
Pm10 Pm 0.5000 0.5000 0.5000
Pm11 Pm 0.7505 0.2495 0.2490
Pm12 Pm 0.7505 0.2495 0.7510
Pm13 Pm 0.7505 0.7505 0.2490
Pm14 Pm 0.7505 0.7505 0.7510
Sm1 Sm 0.5000 0.5000 0.0000
# **Spin magnetization**: 0.00 μB per cell
# **DOS(E_F)**: 1.557 states/eV per atom
# **Formation energy**: 0.23 eV per formula unit
# **SG**: P4/mmm (123)



Q: Which of these has the highest spin magnetization?
A: FeCoNiSn



Q: spin magnetization of number 5 (Sm4RuCl5)?
A: 0.09 μB per cell